1.
DyHo2TmTe5: optimized geometry, PBE.

Calculated values
Fermi-level density of states (states/eV/atom): 0.4449
Calculated density (g/cm³): 6.23
Uncorrected formation energy (meV per atom): -642

Lattice parameters (Å, degrees): 5.4933 5.4933 11.4811 90.00 90.00 90.00
Last column: nearest neighbours and their distance in Å.
Fractional positions:
Te (0.5000, 0.0000, 0.5000)  2 Tm 2.75
Te (0.0000, 0.0000, 0.2473)  1 Dy 2.84, 1 Tm 2.90
Te (0.0000, 0.0000, 0.7527)  1 Dy 2.84, 1 Tm 2.90
Te (0.5000, 0.5000, 0.0000)  4 Dy 3.88, 2 Ho 4.01
Te (0.0000, 0.5000, 0.5000)  2 Tm 2.75
Dy (0.0000, 0.0000, 0.0000)  2 Te 2.84
Tm (0.0000, 0.0000, 0.5000)  6 Te 2.75-2.90
Ho (0.5000, 0.5000, 0.6511)  4 Te 3.25, 1 Ho 3.47
Ho (0.5000, 0.5000, 0.3489)  4 Te 3.25, 1 Ho 3.47



2.
CdTe2O: optimized geometry, PBE.

Calculated values
Fermi-level density of states (states/eV/atom): 0.1700
Offset from the most stable computed form (meV/atom): 4
Calculated density (g/cm³): 5.85
Uncorrected formation energy (meV per atom): -131

Lattice parameters (Å, degrees): 5.8294 5.8294 7.6186 67.51 67.51 90.00
Last column: nearest neighbours and their distance in Å.
Fractional positions:
Te (0.8750, 0.7686, 0.7500)  2 O 2.32
Te (0.5186, 0.1250, 0.2500)  2 O 2.32
Te (0.2314, 0.6250, 0.2500)  2 O 2.32
Te (0.3750, 0.4814, 0.7500)  2 O 2.32
O (0.2500, 0.7500, 0.5000)  4 Te 2.32
O (0.5000, 0.5000, 0.0000)  4 Te 2.32
Cd (0.7500, 0.2500, 0.5000)  4 Te 3.00
Cd (0.0000, 0.0000, 0.0000)  4 Te 3.00



3.
La3PrIn: optimized geometry, PBE.

Calculated values
Fermi-level density of states (states/eV/atom): 1.1847
Offset from the most stable computed form (meV/atom): 37
Calculated density (g/cm³): 6.75
Energy of formation (eV/atom): -0.17

Lattice parameters (Å, degrees): 5.7846 6.9267 8.7465 90.00 109.33 90.00
Last column: nearest neighbours and their distance in Å.
Fractional positions:
La (0.1972, 0.9923, 0.3939)  4 La 3.36-3.57, 3 In 3.44-3.55, 1 Pr 3.45
La (0.4135, 0.7500, 0.8282)  2 Pr 3.33, 3 In 3.48-3.52
La (0.1972, 0.5077, 0.3939)  4 La 3.36-3.57, 3 In 3.44-3.55, 1 Pr 3.45
La (0.5865, 0.2500, 0.1718)  2 Pr 3.33, 3 In 3.48-3.52
La (0.8028, 0.0077, 0.6061)  4 La 3.36-3.57, 3 In 3.44-3.55, 1 Pr 3.45
La (0.8028, 0.4923, 0.6061)  4 La 3.36-3.57, 3 In 3.44-3.55, 1 Pr 3.45
Pr (0.9866, 0.2500, 0.9719)  4 La 3.33-3.45, 2 In 3.42-3.43, 2 Pr 3.49
Pr (0.0134, 0.7500, 0.0281)  4 La 3.33-3.45, 2 In 3.42-3.43, 2 Pr 3.49
In (0.3750, 0.2500, 0.7501)  2 Pr 3.42-3.43, 9 La 3.44-3.55
In (0.6250, 0.7500, 0.2499)  2 Pr 3.42-3.43, 9 La 3.44-3.55



4.
Ho2In8Au: optimized geometry, PBE.

Calculated values
Fermi-level density of states (states/eV/atom): 0.4189
Calculated density (g/cm³): 8.77
Energy of formation (eV/atom): -0.31

Lattice parameters (Å, degrees): 4.7373 4.7373 12.1999 90.00 90.00 90.00
Last column: nearest neighbours and their distance in Å.
Fractional positions:
Au (0.0000, 0.0000, 0.0000)  8 In 2.87
In (0.5000, 0.5000, 0.3127)  8 In 3.22-3.29, 4 Ho 3.35
In (0.5000, 0.5000, 0.6873)  8 In 3.22-3.29, 4 Ho 3.35
In (0.0000, 0.5000, 0.5000)  8 In 3.29-3.35, 4 Ho 3.29
In (0.0000, 0.5000, 0.8667)  2 Au 2.87
In (0.0000, 0.5000, 0.1333)  2 Au 2.87
In (0.5000, 0.0000, 0.8667)  2 Au 2.87
In (0.5000, 0.0000, 0.5000)  8 In 3.29-3.35, 4 Ho 3.29
In (0.5000, 0.0000, 0.1333)  2 Au 2.87
Ho (0.0000, 0.0000, 0.6876)  12 In 3.22-3.35
Ho (0.0000, 0.0000, 0.3124)  12 In 3.22-3.35



5.
NdSm2Er5: optimized geometry, PBE.

Calculated values
Fermi-level density of states (states/eV/atom): 1.4955
Offset from the most stable computed form (meV/atom): 157
Calculated density (g/cm³): 8.27
Energy of formation (eV/atom): 0.18

Lattice parameters (Å, degrees): 9.8614 6.4534 10.8923 119.65 116.92 90.00
Last column: nearest neighbours and their distance in Å.
Fractional positions:
Er (0.0561, 0.2500, 0.0000)  4 Sm 3.17-3.46, 2 Er 3.41
Er (0.7152, 0.1294, 0.6100)  1 Sm 3.45, 2 Nd 3.48-3.49, 7 Er 3.64-3.71
Er (0.6894, 0.0571, 0.1981)  4 Sm 3.34-3.71, 1 Nd 3.52, 5 Er 3.64-3.69
Er (0.1052, 0.3706, 0.3900)  1 Sm 3.45, 2 Nd 3.48-3.49, 7 Er 3.64-3.71
Er (0.5088, 0.5571, 0.1981)  4 Sm 3.34-3.71, 1 Nd 3.52, 5 Er 3.64-3.69
Er (0.8948, 0.6294, 0.6100)  1 Sm 3.45, 2 Nd 3.48-3.49, 7 Er 3.64-3.71
Er (0.3106, 0.9429, 0.8019)  4 Sm 3.34-3.71, 1 Nd 3.52, 5 Er 3.64-3.69
Er (0.9439, 0.7500, 0.0000)  4 Sm 3.17-3.46, 2 Er 3.41
Er (0.4912, 0.4429, 0.8019)  4 Sm 3.34-3.71, 1 Nd 3.52, 5 Er 3.64-3.69
Er (0.2848, 0.8706, 0.3900)  1 Sm 3.45, 2 Nd 3.48-3.49, 7 Er 3.64-3.71
Sm (0.3299, 0.0393, 0.1521)  1 Nd 3.02, 2 Er 3.17-3.34, 1 Sm 3.23
Sm (0.6701, 0.9607, 0.8479)  1 Nd 3.02, 2 Er 3.17-3.34, 1 Sm 3.23
Sm (0.1778, 0.4607, 0.8479)  1 Nd 3.02, 2 Er 3.17-3.34, 1 Sm 3.23
Sm (0.8222, 0.5393, 0.1521)  1 Nd 3.02, 2 Er 3.17-3.34, 1 Sm 3.23
Nd (0.0000, 0.0000, 0.5000)  2 Sm 3.02
Nd (0.5000, 0.5000, 0.5000)  2 Sm 3.02



6.
Tb3AlCd: optimized geometry, PBE.

Calculated values
Fermi-level density of states (states/eV/atom): 0.7237
Offset from the most stable computed form (meV/atom): 318
Calculated density (g/cm³): 6.84
Energy of formation (eV/atom): 0.06

Lattice parameters (Å, degrees): 5.1225 8.2101 8.2101 119.99 90.00 90.00
Last column: nearest neighbours and their distance in Å.
Fractional positions:
Tb (0.2500, 0.8019, 0.6042)  2 Cd 3.09, 2 Al 3.20, 2 Tb 3.33-3.34
Tb (0.7500, 0.6042, 0.8019)  2 Cd 3.09, 2 Al 3.20, 2 Tb 3.33-3.34
Tb (0.2500, 0.8021, 0.1979)  2 Cd 3.09, 2 Al 3.21, 2 Tb 3.34
Tb (0.7500, 0.1981, 0.3958)  2 Cd 3.09, 2 Al 3.20, 2 Tb 3.33-3.34
Tb (0.2500, 0.3958, 0.1981)  2 Cd 3.09, 2 Al 3.20, 2 Tb 3.33-3.34
Tb (0.7500, 0.1979, 0.8021)  2 Cd 3.09, 2 Al 3.21, 2 Tb 3.34
Al (0.7500, 0.6666, 0.3334)  6 Tb 3.20-3.21
Al (0.2500, 0.3334, 0.6666)  6 Tb 3.20-3.21
Cd (0.5000, 0.0000, 0.0000)  2 Cd 2.56
Cd (0.0000, 0.0000, 0.0000)  2 Cd 2.56



7.
AcTb3YTm: optimized geometry, PBE.

Calculated values
Fermi-level density of states (states/eV/atom): 1.6885
Calculated density (g/cm³): 7.38
Energy of formation (eV/atom): 0.22

Lattice parameters (Å, degrees): 5.4060 11.8918 6.9828 82.00 90.00 103.14
Last column: nearest neighbours and their distance in Å.
Fractional positions:
Ac (0.6273, 0.2546, 0.0161)  7 Tb 3.44-3.85, 2 Tm 3.48-3.75, 2 Y 3.82
Ac (0.3727, 0.7454, 0.9839)  7 Tb 3.44-3.85, 2 Tm 3.48-3.75, 2 Y 3.82
Tb (0.8189, 0.6377, 0.2830)  3 Tm 3.22-3.56, 2 Ac 3.53, 2 Tb 3.57, 1 Y 3.58
Tb (0.4785, 0.9570, 0.2830)  1 Tb 3.32, 2 Ac 3.44-3.68, 1 Tm 3.56, 4 Y 3.65-3.66
Tb (0.7743, 0.5486, 0.8075)  3 Tm 3.51-3.61, 3 Ac 3.51-3.85, 1 Y 3.55, 6 Tb 3.57-3.86
Tb (0.1811, 0.3623, 0.7170)  3 Tm 3.22-3.56, 2 Ac 3.53, 2 Tb 3.57, 1 Y 3.58
Tb (0.5215, 0.0430, 0.7170)  1 Tb 3.32, 2 Ac 3.44-3.68, 1 Tm 3.56, 4 Y 3.65-3.66
Tb (0.2257, 0.4514, 0.1925)  3 Tm 3.51-3.61, 3 Ac 3.51-3.85, 1 Y 3.55, 6 Tb 3.57-3.86
Y (0.0755, 0.1509, 0.3888)  6 Tb 3.55-3.66, 2 Tm 3.56, 1 Y 3.62, 2 Ac 3.82
Y (0.9245, 0.8491, 0.6112)  6 Tb 3.55-3.66, 2 Tm 3.56, 1 Y 3.62, 2 Ac 3.82
Tm (0.6680, 0.3359, 0.4774)  6 Tb 3.22-3.56, 1 Ac 3.48, 2 Y 3.56
Tm (0.3320, 0.6641, 0.5226)  6 Tb 3.22-3.56, 1 Ac 3.48, 2 Y 3.56



8.
FePbBr4: optimized geometry, PBE.

Calculated values
Fermi-level density of states (states/eV/atom): 2.3744
Offset from the most stable computed form (meV/atom): 1350
Calculated density (g/cm³): 5.36
Uncorrected formation energy (meV per atom): 757

Lattice parameters (Å, degrees): 6.3449 6.3449 6.3449 60.00 60.00 60.00
Last column: nearest neighbours and their distance in Å.
Fractional positions:
Br (0.3756, 0.3756, 0.8731)  6 Br 3.16-3.19
Br (0.8731, 0.3756, 0.3756)  6 Br 3.16-3.19
Br (0.3756, 0.8731, 0.3756)  6 Br 3.16-3.19
Br (0.3756, 0.3756, 0.3756)  6 Br 3.16-3.19
Fe (0.7500, 0.7500, 0.7500)  12 Br 3.72, 4 Pb 3.89
Pb (0.0000, 0.0000, 0.0000)  12 Br 3.72, 4 Fe 3.89



9.
Mg2SiPt: optimized geometry, PBE.

Calculated values
Fermi-level density of states (states/eV/atom): 0.3237
Calculated density (g/cm³): 6.07
Uncorrected formation energy (meV per atom): -47

Lattice parameters (Å, degrees): 7.4178 7.4178 5.9009 51.06 51.06 90.00
Last column: nearest neighbours and their distance in Å.
Fractional positions:
Pt (0.7500, 0.2500, 0.5000)  4 Mg 2.63, 2 Si 2.70
Pt (0.0000, 0.0000, 0.0000)  4 Mg 2.63, 2 Si 2.70
Mg (0.3750, 0.3587, 0.7500)  2 Pt 2.63, 2 Mg 2.71, 2 Si 2.79
Mg (0.6413, 0.1250, 0.2500)  2 Pt 2.63, 2 Mg 2.71, 2 Si 2.79
Mg (0.1087, 0.6250, 0.2500)  2 Pt 2.63, 2 Mg 2.71, 2 Si 2.79
Mg (0.8750, 0.8913, 0.7500)  2 Pt 2.63, 2 Mg 2.71, 2 Si 2.79
Si (0.5000, 0.5000, 0.0000)  2 Pt 2.70, 4 Mg 2.79
Si (0.2500, 0.7500, 0.5000)  2 Pt 2.70, 4 Mg 2.79



10.
Rb4Te2Se5: optimized geometry, PBE.

Calculated values
Calculated density (g/cm³): 3.52
Uncorrected formation energy (meV per atom): -709

Lattice parameters (Å, degrees): 7.1703 7.1703 9.8439 94.60 94.60 68.17
Last column: nearest neighbours and their distance in Å.
Fractional positions:
Se (0.1254, 0.6340, 0.7939)  1 Te 2.54
Se (0.9066, 0.4174, 0.1572)  1 Te 2.54
Se (0.6340, 0.1254, 0.7939)  1 Te 2.54
Se (0.4174, 0.9066, 0.1572)  1 Te 2.54
Se (0.4995, 0.4995, 0.4795)  2 Te 2.74-2.84
Te (0.3290, 0.3290, 0.6478)  3 Se 2.54-2.74
Te (0.6868, 0.6868, 0.3206)  3 Se 2.54-2.84
Rb (0.9224, 0.9224, 0.0864)  6 Se 3.49-3.79, 1 Te 3.79
Rb (0.6316, 0.6316, 0.8242)  7 Se 3.58-3.81, 1 Te 3.84
Rb (0.3942, 0.3942, 0.1234)  7 Se 3.48-3.82, 1 Te 3.81
Rb (0.9962, 0.9962, 0.5445)  2 Se 3.54



11.
GaCoSe2N: optimized geometry, PBE.

Calculated values
Fermi-level density of states (states/eV/atom): 0.9135
Offset from the most stable computed form (meV/atom): 756
Calculated density (g/cm³): 5.19
Uncorrected formation energy (meV per atom): 1013

Lattice parameters (Å, degrees): 5.1710 5.1710 3.5954 90.00 90.00 90.00
Last column: nearest neighbours and their distance in Å.
Fractional positions:
Co (0.5000, 0.5000, 0.5000)  8 Se 3.15
N (0.0000, 0.0000, 0.5000)  2 Ga 1.80
Se (0.0000, 0.5000, 0.0000)  2 Ga 2.59
Se (0.5000, 0.0000, 0.0000)  2 Ga 2.59
Ga (0.0000, 0.0000, 0.0000)  2 N 1.80